(1)
A relaxed MgTc crystal, computed with PBE.

Results
space-group type: No. 11
excess energy over the best structure of this formula in the dataset: 0.267 eV/atom

a b c (Å): 7.847 5.800 4.526
angles (deg): 90.00 90.00 100.35
Positions (direct):
Tc1 0.677 0.680 0.000
Mg1 0.997 0.996 0.000
Mg2 0.225 0.060 0.500
Mg3 0.873 0.229 0.500
Tc2 0.836 0.704 0.500
Tc3 0.654 0.127 0.000
Tc4 0.386 0.351 0.000
Mg4 0.995 0.501 0.000
Mg5 0.228 0.554 0.500
Tc5 0.568 0.928 0.500
Mg6 0.349 0.826 0.000
Tc6 0.545 0.376 0.500

(2)
A relaxed LuNbAl crystal, computed with PBE.

Results
space-group type: No. 216
excess energy over the best structure of this formula in the dataset: 0.632 eV/atom

a b c (Å): 4.800 4.800 4.800
angles (deg): 60.00 60.00 60.00
Positions (direct):
Nb1 0.750 0.750 0.750
Al1 0.250 0.250 0.250
Lu1 0.000 0.000 0.000

(3)
A relaxed SbOsNO crystal, computed with PBE.

Results
space-group type: No. 26
excess energy over the best structure of this formula in the dataset: 0.237 eV/atom

a b c (Å): 3.037 6.190 6.393
angles (deg): 90.00 90.00 90.00
Positions (direct):
N1 0.000 0.669 0.208
Os1 0.000 0.417 0.982
Sb1 0.500 0.201 0.459
Sb2 0.500 0.799 0.959
O1 0.500 0.760 0.596
Os2 0.000 0.583 0.482
O2 0.500 0.240 0.096
N2 0.000 0.331 0.708